# 1
# TcTeRh

A relaxed TcTeRh crystal (GGA-PBE, the Alexandria database).

The calculation puts the uncorrected formation energy at 316.3 meV per atom. As for the density of states at the Fermi level: 4.09 states/eV/f.u. The calculation puts the magnetization at 0.000 μB per atom. The calculation puts the energy above the lowest structure with this stoichiometry at 0.1624 eV/atom. Its energy is -0.488 Ry/atom. The crystal system is tetragonal.

Cell: 3.107 3.107 10.682 Å, 90.00 90.00 90.00°
Fractional coordinates of all 6 atoms:
Tc: 0.000 0.000 0.000
Tc: 0.500 0.500 0.500
Te: 0.000 0.000 0.663
Te: 0.500 0.500 0.163
Rh: 0.000 0.000 0.348
Rh: 0.500 0.500 0.848



# 2
# Al2HgRh

A relaxed Al2HgRh crystal (GGA-PBE, the Alexandria database).

As for the density of states at the Fermi level: 1.09 states/eV/f.u. The calculation puts the magnetization at 0.000 μB per atom. Its energy is -0.295 Ry/atom. The crystal system is tetragonal.

Cell: 4.246 4.246 3.545 Å, 90.00 90.00 90.00°
Fractional coordinates of all 4 atoms:
Al: 0.000 0.500 0.000
Al: 0.500 0.000 0.000
Hg: 0.000 0.000 0.500
Rh: 0.500 0.500 0.500



# 3
# KNa2CrCl6

A relaxed KNa2CrCl6 crystal (GGA-PBE, the Alexandria database).

The calculation puts the uncorrected formation energy at -1542.9 meV per atom. As for the density of states at the Fermi level: 0.00 states/eV/f.u. The calculation puts the magnetization at 0.300 μB per atom. Its energy is -0.293 Ry/atom. The crystal system is trigonal.

Cell: 7.459 7.459 7.459 Å, 55.78 55.78 55.78°
Fractional coordinates of all 10 atoms:
K: 0.000 0.000 0.000
Na: 0.287 0.287 0.287
Na: 0.804 0.804 0.804
Cr: 0.484 0.484 0.484
Cl: 0.128 0.668 0.428
Cl: 0.267 0.563 0.835
Cl: 0.428 0.128 0.668
Cl: 0.563 0.835 0.267
Cl: 0.668 0.428 0.128
Cl: 0.835 0.267 0.563



# 4
# FeS2Cl5

A relaxed FeS2Cl5 crystal (GGA-PBE, the Alexandria database).

The calculation puts the uncorrected formation energy at -442.2 meV per atom. The calculation puts the magnetization at 0.625 μB per atom. Its energy is -0.271 Ry/atom. The crystal system is triclinic.

Cell: 6.863 7.031 7.778 Å, 95.02 113.99 110.20°
Fractional coordinates of all 8 atoms:
Fe: 0.000 0.000 0.000
S: 0.799 0.082 0.376
S: 0.891 0.365 0.501
Cl: 0.097 0.796 0.178
Cl: 0.248 0.537 0.611
Cl: 0.287 0.305 0.084
Cl: 0.702 0.055 0.043
Cl: 0.823 0.844 0.686



# 5
# Dy3TmCd

A relaxed Dy3TmCd crystal (GGA-PBE, the Alexandria database).

As for the density of states at the Fermi level: 5.75 states/eV/f.u. The calculation puts the magnetization at 0.000 μB per atom. The calculation puts the energy above the lowest structure with this stoichiometry at 0.1002 eV/atom. Its energy is -0.284 Ry/atom. The crystal system is monoclinic.

Cell: 6.019 6.019 11.171 Å, 99.51 99.51 47.99°
Fractional coordinates of all 10 atoms:
Dy: 0.021 0.021 0.357
Dy: 0.139 0.139 0.949
Dy: 0.294 0.294 0.262
Dy: 0.706 0.706 0.738
Dy: 0.861 0.861 0.051
Dy: 0.979 0.979 0.643
Tm: 0.426 0.426 0.849
Tm: 0.574 0.574 0.151
Cd: 0.288 0.288 0.570
Cd: 0.712 0.712 0.430



# 6
# Y2HgRh2

A relaxed Y2HgRh2 crystal (GGA-PBE, the Alexandria database).

As for the density of states at the Fermi level: 6.88 states/eV/f.u. The calculation puts the magnetization at 0.000 μB per atom. Its energy is -0.440 Ry/atom. The crystal system is tetragonal.

Cell: 3.890 3.890 15.340 Å, 90.00 90.00 90.00°
Fractional coordinates of all 10 atoms:
Y: 0.000 0.000 0.119
Y: 0.000 0.000 0.881
Y: 0.500 0.500 0.381
Y: 0.500 0.500 0.619
Hg: 0.000 0.000 0.500
Hg: 0.500 0.500 0.000
Rh: 0.000 0.500 0.250
Rh: 0.000 0.500 0.750
Rh: 0.500 0.000 0.250
Rh: 0.500 0.000 0.750



# 7
# TaSe2Br

A relaxed TaSe2Br crystal (GGA-PBE, the Alexandria database).

The calculation puts the uncorrected formation energy at 570.8 meV per atom. As for the density of states at the Fermi level: 2.89 states/eV/f.u. The calculation puts the magnetization at 0.000 μB per atom. The calculation puts the energy above the lowest structure with this stoichiometry at 1.2589 eV/atom. Its energy is -0.335 Ry/atom. The crystal system is monoclinic.

Cell: 4.558 3.191 5.836 Å, 90.00 108.37 90.00°
Fractional coordinates of all 4 atoms:
Ta: 0.000 0.000 0.000
Se: 0.000 0.500 0.500
Se: 0.500 0.000 0.500
Br: 0.500 0.500 0.000



no.,ρ (g/cm3)
1,10.582
2,9.288
3,2.194
4,1.591
5,8.632
6,8.359
7,8.633